Compound: BaCrPt2
Source: Alexandria
Functional: GGA-PBE
Structure: relaxed

Geometry as POSCAR:
```
BaCrPt2
1.0
4.5122 -0.0147 0.0319
2.2683 3.9006 0.0319
2.2094 1.2663 5.6696
Pt Ba Cr
2 1 1
Direct
0.6937 0.6937 0.9179
0.9824 0.9824 0.0523
0.5051 0.5051 0.4869
0.3189 0.3189 0.0428
```

Values from the calculation:
Density of states at the Fermi level in states/eV/cell: 1.796
Space-group type: Cm, No. 8
Total magnetic moment in μB per formula unit: 3.7
Energy of formation from the pure elements in eV/atom: -0.316
Final energy in eV for the cell shown: -24.893

Compound: Ba2CrPt
Source: Alexandria
Functional: GGA-PBE
Structure: relaxed

Geometry as POSCAR:
```
Ba2CrPt
1.0
9.0272 0.0000 0.0000
0.0000 9.0272 0.0000
4.5136 4.5136 3.3801
Cr Pt Ba
2 2 4
Direct
0.2500 0.7500 0.5000
0.5000 0.5000 0.0000
0.0000 0.0000 0.0000
0.7500 0.2500 0.5000
0.8750 0.9223 0.7500
0.0777 0.6250 0.2500
0.6723 0.1250 0.2500
0.3750 0.3277 0.7500
```

Values from the calculation:
Density of states at the Fermi level in states/eV/cell: 8.426
Space-group type: I-42d, No. 122
Total magnetic moment in μB per formula unit: 4.6
Energy of formation from the pure elements in eV/atom: 0.302
Final energy in eV for the cell shown: -36.601

Compound: BaCrPt2
Source: Alexandria
Functional: GGA-PBE
Structure: relaxed

Geometry as POSCAR:
```
BaCrPt2
1.0
3.4089 0.0000 0.0000
0.0000 3.2734 -0.0090
0.0000 3.2796 7.4847
Pt Ba Cr
2 1 1
Direct
0.0000 0.4335 0.5668
0.0000 0.0665 0.9332
0.5000 0.2500 0.2500
0.5000 0.7500 0.7500
```

Values from the calculation:
Density of states at the Fermi level in states/eV/cell: 2.624
Space-group type: P2/m, No. 10
Total magnetic moment in μB per formula unit: 3.6
Energy of formation from the pure elements in eV/atom: -0.170
Final energy in eV for the cell shown: -24.306